Record 1
8
Lattice="9.4137 -1.3608 0.0000 9.4137 1.3608 0.0000 -0.1628 0.0000 4.4536" Properties=species:S:1:pos:R:3 comment="NiIr4Ru3 PBE relaxed" formation_energy_kj_per_mol_fu=109 polymorph_energy_ev_per_atom=0.000 spacegroup="C2/m (12)" pbc="T T T"
Ni 0.0000 0.0000 0.0000
Ir 1.9655 0.0000 3.2251
Ir 6.6324 0.0000 3.4309
Ir 12.0322 0.0000 1.0227
Ir 16.6990 0.0000 1.2285
Ru 4.9962 0.0000 1.1238
Ru 9.3323 0.0000 2.2268
Ru 13.6683 0.0000 3.3298

***

Record 2
12
Lattice="3.1531 -3.0636 0.0000 3.1531 3.0636 0.0000 -2.3362 0.0000 15.0408" Properties=species:S:1:pos:R:3 comment="NaTl2Sb2Au7 PBE relaxed" spacegroup="C2/m (12)" pbc="T T T"
Na 0.0000 0.0000 0.0000
Tl -0.3982 0.0000 5.8863
Tl 4.3682 0.0000 9.1545
Sb 0.8650 0.0000 11.4134
Sb 3.1050 0.0000 3.6274
Au 1.5612 1.5419 1.9658
Au 1.3643 0.0000 8.7177
Au 2.4089 1.5419 13.0750
Au 3.1531 0.0000 0.0000
Au 1.5612 -1.5419 1.9658
Au 2.6057 0.0000 6.3231
Au 2.4089 -1.5419 13.0750

***

Record 3
2
Lattice="1.3247 0.7648 4.2237 -1.3247 0.7648 4.2237 0.0000 -1.5296 4.2237" Properties=species:S:1:pos:R:3 comment="NiOs PBE relaxed" formation_energy_kj_per_mol_fu=31 spacegroup="R-3m (166)" pbc="T T T"
Ni 0.0000 0.0000 0.0000
Os 0.0000 0.0000 6.3355

***

Number 1: final energy -67.9 eV per formula unit. Number 2: final energy -38.0 eV per formula unit. Number 3: final energy -16.7 eV per formula unit.